Here is a relaxed KAl4Co crystal from the Alexandria database. Energies are from PBE-GGA.

Cell lengths 7.7177, 7.7177, 7.7177 Å; angles 90.00, 90.00, 90.00 degrees
Space group F-43m (No. 216)
Inequivalent atoms, fractional coordinates:
K 0.0000 0.0000 0.0000
Al 0.1246 0.1246 0.6246
Co 0.2500 0.2500 0.2500

Computed properties:
formation energy from the elements	0.43	eV/atom
magnetic moment	1.58	μB per formula unit
total DFT energy (no corrections)	-3.428	eV per atom